Sr2CaSiO: relaxed, PBE.

Structure (POSCAR):
```
Sr2CaSiO
1.0
5.0426 0.0000 0.0000
0.0000 5.0426 0.0000
0.0000 0.0000 4.7932
Sr Ca Si O
2 1 1 1
Direct
0.0000 0.5000 0.0000
0.5000 0.0000 0.0000
0.0000 0.0000 0.5000
0.5000 0.5000 0.5000
0.0000 0.0000 0.0000
```

Computed properties:
The formation energy without anion corrections comes out at -1.339 eV per atom. The mass density comes out at 3.5 Mg/m³. Its space group is No. 123.

LiRu2Cl: relaxed, PBE.

Structure (POSCAR):
```
LiRu2Cl
1.0
-2.8751 0.2421 0.5441
-0.3860 -2.8043 -0.7919
0.9141 -3.4639 6.3712
Cl Li Ru
1 1 2
Direct
0.0000 0.2955 0.5337
0.5000 0.7032 0.7176
0.0000 0.0514 0.0227
0.5000 0.4499 0.2259
```

Computed properties:
The formation energy without anion corrections comes out at -0.057 eV per atom. The mass density comes out at 6.6 Mg/m³. Its space group is No. 38. The polymorph energy (0 for the lowest one) comes out at 0.00 eV per formula unit.

RbMgNiCl6: relaxed, PBE.

Structure (POSCAR):
```
RbMgNiCl6
1.0
6.2386 0.1555 -0.0636
3.2493 5.6295 -0.1326
-0.0711 -0.1360 7.4196
Rb Mg Ni Cl
1 1 1 6
Direct
0.9874 0.0063 0.0001
0.6470 0.6764 0.5000
0.3327 0.3336 0.5000
0.0275 0.3565 0.3224
0.3678 0.0141 0.7019
0.6205 0.3585 0.6724
0.0266 0.6167 0.6775
0.3690 0.6175 0.2978
0.6213 0.0205 0.3277
```

Computed properties:
The formation energy without anion corrections comes out at -1.259 eV per atom. The mass density comes out at 2.5 Mg/m³. Its space group is No. 1.

SrPaCl2F6: relaxed, PBE.

Structure (POSCAR):
```
SrPaCl2F6
1.0
-5.4458 3.5455 0.8651
-1.3850 -0.5695 -6.3826
-5.8033 -2.3902 -1.8951
Sr Pa Cl F
1 1 2 6
Direct
0.5000 0.5000 0.0000
0.0000 0.0000 0.0000
0.2500 0.7500 0.5000
0.7500 0.2500 0.5000
0.2291 0.7709 0.0000
0.7709 0.7709 0.0000
0.2291 0.2291 0.5418
0.7709 0.2291 0.0000
0.2291 0.2291 0.0000
0.7709 0.7709 0.4582
```

Computed properties:
The formation energy without anion corrections comes out at -3.096 eV per atom. The mass density comes out at 4.2 Mg/m³. Its space group is No. 225.

Q: Among the records above, which one has the lowest formation energy without anion corrections?
A: SrPaCl2F6

Q: The lowest mass density belongs to which entry?
A: RbMgNiCl6

Q: Which of these has the highest mass density?
A: LiRu2Cl